VASP calculation (PBE) on an optimized crystal structure of RbPdCl3.

```
data_RbPdCl3
_symmetry_space_group_name_H-M 'P 1'
_symmetry_Int_Tables_number 1
_cell_length_a 6.0893
_cell_length_b 6.0893
_cell_length_c 6.0893
_cell_angle_alpha 90.00
_cell_angle_beta 90.00
_cell_angle_gamma 90.00
loop_
_symmetry_equiv_pos_as_xyz
'x,y,z'
loop_
_atom_site_label
_atom_site_type_symbol
_atom_site_fract_x
_atom_site_fract_y
_atom_site_fract_z
_atom_site_occupancy
Rb1 Rb 0.0000 0.0000 0.0000 1
Cl1 Cl 0.0000 0.0000 0.5000 1
Cl2 Cl 0.5000 0.0000 0.0000 1
Cl3 Cl 0.0000 0.5000 0.0000 1
Pd1 Pd 0.5000 0.5000 0.5000 1
```

Results
Total magnetic moment   2.00 μB per cell
Symmetry   Pm-3m (221)
E_tot   -2.16 eV per atom
Uncorrected formation energy   176 meV per atom